Entry from Alexandria: a relaxed structure of Rb2Mn2Te2O (PBE+U).

## Properties
The total energy comes out at -4.9321 eV/atom. The value obtained for the spin magnetization is 1.429 μB/atom. The space-group type is I4/mmm.

Lattice parameters (Å, degrees): 9.7658 9.7658 9.7658 152.65 152.65 39.07
Fractional positions:
Rb 0.1714 0.1714 0.0000
Rb 0.8286 0.8286 0.0000
Mn 0.0000 0.5000 0.5000
Mn 0.5000 0.0000 0.5000
Te 0.3919 0.3919 0.0000
Te 0.6081 0.6081 0.0000
O 0.0000 0.0000 0.0000